[1]
Material: InMo2Pt2
Method: DFT, PBE
State: optimized geometry

Results
formation enthalpy at 0 K	0.05	eV/atom
symmetry	P4/mbm (127)

abc: 7.903 7.903 2.786
angles: 90.00 90.00 90.00
Element x y z (fractional)
In (0.000, 0.000, 0.000)
In (0.500, 0.500, 0.000)
Mo (0.173, 0.327, 0.500)
Mo (0.327, 0.827, 0.500)
Mo (0.673, 0.173, 0.500)
Mo (0.827, 0.673, 0.500)
Pt (0.122, 0.622, 0.000)
Pt (0.378, 0.122, 0.000)
Pt (0.622, 0.878, 0.000)
Pt (0.878, 0.378, 0.000)



[2]
Material: InMo3Pt
Method: DFT, PBE
State: optimized geometry

Results
formation enthalpy at 0 K	1.54	eV/atom
symmetry	Pm-3m (221)

abc: 4.807 4.807 4.807
angles: 90.00 90.00 90.00
Element x y z (fractional)
In (0.000, 0.000, 0.000)
Mo (0.000, 0.500, 0.500)
Mo (0.500, 0.000, 0.500)
Mo (0.500, 0.500, 0.000)
Pt (0.500, 0.500, 0.500)



[3]
Material: InMoPt3
Method: DFT, PBE
State: optimized geometry

Results
formation enthalpy at 0 K	0.85	eV/atom
symmetry	Pm-3m (221)

abc: 4.873 4.873 4.873
angles: 90.00 90.00 90.00
Element x y z (fractional)
In (0.000, 0.000, 0.000)
Mo (0.500, 0.500, 0.500)
Pt (0.000, 0.500, 0.500)
Pt (0.500, 0.000, 0.500)
Pt (0.500, 0.500, 0.000)



[4]
Material: In4MoPt
Method: DFT, PBE
State: optimized geometry

Results
formation enthalpy at 0 K	0.77	eV/atom
symmetry	F-43m (216)

abc: 5.690 5.690 5.690
angles: 60.00 60.00 60.00
Element x y z (fractional)
In (0.125, 0.125, 0.125)
In (0.125, 0.125, 0.625)
In (0.125, 0.625, 0.125)
In (0.625, 0.125, 0.125)
Mo (0.750, 0.750, 0.750)
Pt (0.500, 0.500, 0.500)



[5]
Material: InMo2Pt2
Method: DFT, PBE
State: optimized geometry

Results
formation enthalpy at 0 K	0.00	eV/atom
symmetry	I4/mmm (139)

abc: 7.327 7.327 7.327
angles: 151.40 151.40 40.89
Element x y z (fractional)
In (0.000, 0.000, 0.000)
Mo (0.250, 0.750, 0.500)
Mo (0.750, 0.250, 0.500)
Pt (0.401, 0.401, 0.000)
Pt (0.599, 0.599, 0.000)



[6]
Material: InMoPt6
Method: DFT, PBE
State: optimized geometry

Results
formation enthalpy at 0 K	-0.32	eV/atom
symmetry	P4/mmm (123)

abc: 4.000 4.000 8.061
angles: 90.00 90.00 90.00
Element x y z (fractional)
In (0.000, 0.000, 0.000)
Mo (0.000, 0.000, 0.500)
Pt (0.000, 0.500, 0.263)
Pt (0.000, 0.500, 0.737)
Pt (0.500, 0.000, 0.263)
Pt (0.500, 0.000, 0.737)
Pt (0.500, 0.500, 0.000)
Pt (0.500, 0.500, 0.500)



[7]
Material: InMo4Pt
Method: DFT, PBE
State: optimized geometry

Results
formation enthalpy at 0 K	0.32	eV/atom
symmetry	F-43m (216)

abc: 5.263 5.263 5.263
angles: 60.00 60.00 60.00
Element x y z (fractional)
In (0.000, 0.000, 0.000)
Mo (0.124, 0.625, 0.625)
Mo (0.625, 0.124, 0.625)
Mo (0.625, 0.625, 0.124)
Mo (0.625, 0.625, 0.625)
Pt (0.250, 0.250, 0.250)



[8]
Material: InSiMo2Pt
Method: DFT, PBE
State: optimized geometry

Results
symmetry	P4/mmm (123)
uncorrected formation energy	2127	meV/atom

abc: 5.054 5.054 4.846
angles: 90.00 90.00 90.00
Element x y z (fractional)
In (0.000, 0.000, 0.000)
Si (0.500, 0.500, 0.500)
Mo (0.000, 0.500, 0.000)
Mo (0.500, 0.000, 0.000)
Pt (0.000, 0.000, 0.500)



In Ry per atom, the E_tot values for the records above are, in order, -0.53239; -0.49327; -0.40307; -0.28397; -0.53639; -0.48154; -0.61460; -0.37086.
In μB/f.u., the total moment values for the records above are, in order, 0.00; 0.01; 0.00; 2.44; 0.00; 0.93; 0.00; 4.90.